Here is a geometry-optimized CsSr2Si structure from the Alexandria database. Energies are from PBE.

abc: 8.299 8.299 8.299
angles: 103.33 103.33 122.62
Fractional positions:
Cs 0.000 0.000 0.000
Cs 0.750 0.250 0.500
Sr 0.243 0.625 0.118
Sr 0.375 0.493 0.618
Sr 0.507 0.125 0.882
Sr 0.875 0.757 0.382
Si 0.250 0.750 0.500
Si 0.500 0.500 0.000

Output
E_form (uncorrected) = 0.12 eV/atom
Space group = I-42d
E = -18.331 eV/cell